No. 1
VASP calculation (PBE) on a geometry-optimized LuNbFePb structure.

Cell lengths 4.821, 4.821, 4.821 Å; angles 60.00, 60.00, 60.00 degrees
Fractional positions:
Fe: 0.750 0.750 0.750
Lu: 0.500 0.500 0.500
Nb: 0.250 0.250 0.250
Pb: 0.000 0.000 0.000

Summary:
- Excess energy over the best structure of this formula in the dataset: 0 meV/atom
- Electronic total energy: -24.80 eV per cell
- Space group: F-43m, No. 216



No. 2
VASP calculation (PBE) on a geometry-optimized TbScO3 structure.

Cell lengths 3.844, 3.844, 4.618 Å; angles 90.00, 90.00, 90.00 degrees
Fractional positions:
O: 0.500 0.500 0.106
O: 0.500 0.000 0.667
O: 0.000 0.500 0.667
Sc: 0.500 0.500 0.528
Tb: 0.000 0.000 0.932

Summary:
- Electronic total energy: -42.44 eV per cell
- Space group: P4mm, No. 99



No. 3
VASP calculation (PBE) on a geometry-optimized Mg2TaNi3Sb3 structure.

Cell lengths 7.378, 7.398, 7.398 Å; angles 119.91, 99.61, 99.61 degrees
Fractional positions:
Mg: 0.999 0.502 0.003
Mg: 0.499 0.329 0.162
Mg: 0.999 0.162 0.329
Mg: 0.499 0.003 0.502
Ni: 0.121 0.194 0.026
Ni: 0.621 0.026 0.194
Ni: 0.121 0.873 0.390
Ni: 0.635 0.711 0.558
Ni: 0.135 0.558 0.711
Ni: 0.621 0.390 0.873
Sb: 0.247 0.917 0.091
Sb: 0.749 0.749 0.255
Sb: 0.254 0.577 0.410
Sb: 0.754 0.410 0.577
Sb: 0.249 0.255 0.749
Sb: 0.747 0.091 0.917
Ta: 0.002 0.835 0.669
Ta: 0.502 0.669 0.835

Summary:
- Electronic total energy: -95.52 eV per cell
- Space group: Cc, No. 9



No. 4
VASP calculation (PBE) on a geometry-optimized Sm2Br structure.

Cell lengths 6.574, 6.574, 6.574 Å; angles 60.00, 60.00, 60.00 degrees
Last column: magnetic moment on the atom in μB.
Fractional positions:
Br: 0.000 0.000 0.000  0.00
Br: 0.250 0.250 0.250  0.00
Sm: 0.625 0.625 0.125  0.22
Sm: 0.625 0.125 0.625  0.24
Sm: 0.125 0.625 0.625  0.20
Sm: 0.625 0.625 0.625  0.23

Summary:
- Excess energy over the best structure of this formula in the dataset: 0 meV/atom
- Electronic total energy: -21.51 eV per cell
- Space group: Fd-3m, No. 227



Copy entry 2 word for word.
VASP calculation (PBE) on a geometry-optimized TbScO3 structure.

Cell lengths 3.844, 3.844, 4.618 Å; angles 90.00, 90.00, 90.00 degrees
Fractional positions:
O: 0.500 0.500 0.106
O: 0.500 0.000 0.667
O: 0.000 0.500 0.667
Sc: 0.500 0.500 0.528
Tb: 0.000 0.000 0.932

Summary:
- Electronic total energy: -42.44 eV per cell
- Space group: P4mm, No. 99